Compound: HfMgZr2
Source: Alexandria
Functional: PBE-GGA
Structure: relaxed

Values from the calculation:
Uncorrected energy ... -7.12 eV per atom

a b c (Å): 3.1958 3.1958 31.3347
angles (deg): 90.00 90.00 120.00
Closest atoms and distances in Å follow each position.
Space group R-3m (No. 166, hexagonal axes)
Symmetry-distinct sites (fractional):
Hf (0.0000, 0.0000, 0.0000)  6 Zr 3.13, 6 Hf 3.20
Mg (0.0000, 0.0000, 0.5000)  6 Mg 3.20, 6 Zr 3.26
Zr (0.0000, 0.0000, 0.2525)  3 Hf 3.13, 6 Zr 3.20, 3 Mg 3.26

Compound: TbDyHo4
Source: Alexandria
Functional: PBE-GGA
Structure: relaxed

Values from the calculation:
Uncorrected energy ... -4.57 eV per atom
Distance to the lowest polymorph of the same formula ... 0 meV per atom

a b c (Å): 4.9743 6.1064 7.0550
angles (deg): 73.09 89.99 66.06
Closest atoms and distances in Å follow each position.
Space group P-1 (No. 2)
Symmetry-distinct sites (fractional):
Tb (0.0000, 0.0000, 0.0000)  10 Ho 3.52-3.53, 2 Dy 3.53
Dy (0.0000, 0.0000, 0.5000)  10 Ho 3.52-3.53, 2 Tb 3.53
Ho (0.3334, 0.3334, 0.1668)  7 Ho 3.52-3.53, 2 Dy 3.52, 3 Tb 3.52-3.53
Ho (0.3331, 0.3339, 0.6664)  7 Ho 3.51-3.53, 2 Tb 3.52, 3 Dy 3.52-3.53

Compound: LaDyTmAl
Source: Alexandria
Functional: PBE-GGA
Structure: relaxed

Values from the calculation:
Uncorrected energy ... -4.51 eV per atom
Distance to the lowest polymorph of the same formula ... 113 meV per atom

a b c (Å): 7.6616 7.6616 7.6616
angles (deg): 90.00 90.00 90.00
Closest atoms and distances in Å follow each position.
Space group F-43m (No. 216)
Symmetry-distinct sites (fractional):
La (0.0000, 0.0000, 0.0000)  4 Tm 3.32, 4 Al 3.32
Dy (0.0000, 0.0000, 0.5000)  4 Al 3.32, 4 Tm 3.32
Tm (0.2500, 0.2500, 0.2500)  4 Dy 3.32, 4 La 3.32
Al (0.2500, 0.2500, 0.7500)  4 La 3.32, 4 Dy 3.32

Compound: Ce2Pm3SmHo6
Source: Alexandria
Functional: PBE-GGA
Structure: relaxed

Values from the calculation:
Uncorrected energy ... -4.81 eV per atom

a b c (Å): 6.1802 10.7040 11.7299
angles (deg): 90.00 100.11 90.00
Closest atoms and distances in Å follow each position.
Space group C2/m (No. 12)
Symmetry-distinct sites (fractional):
Ce (0.0000, 0.1666, 0.0000)  6 Ho 3.51-3.52, 3 Ce 3.57, 3 Sm 3.57
Pm (0.0000, 0.0000, 0.5000)  6 Pm 3.56-3.57, 6 Ho 3.57-3.58
Pm (0.0000, 0.3339, 0.5000)  6 Pm 3.55-3.57, 6 Ho 3.57-3.58
Sm (0.0000, 0.5000, 0.0000)  6 Ho 3.53, 6 Ce 3.57
Ho (0.2469, 0.0000, 0.2472)  2 Ce 3.52, 1 Sm 3.53, 6 Ho 3.56-3.59, 3 Pm 3.57
Ho (0.2495, 0.1678, 0.7529)  2 Ce 3.51-3.52, 1 Sm 3.53, 6 Ho 3.56-3.59, 3 Pm 3.57-3.58

| no. | V (Å³ per atom) |
| --- | --- |
| 1 | 23.10 |
| 2 | 30.95 |
| 3 | 28.11 |
| 4 | 31.83 |